A plane-wave DFT calculation with PBE was carried out for a relaxed structure of Zr3Ti2Sb3.

Output
Magnetization ... 0.00 μB/cell
Excess energy over the best structure of this formula in the dataset ... 0.1088 eV per atom
Mass density ... 6.8 g/cm³

abc: 3.7964 13.2410 14.2028
angles: 90.00 90.00 90.00
Space group Cmcm (No. 63)
Unique sites:
Zr1 0.0000 0.0645 0.1046
Zr2 0.0000 0.3042 0.2500
Ti1 0.0000 0.2496 0.5820
Sb1 0.0000 0.3665 0.7500
Sb2 0.0000 0.3986 0.0611